a:
Material: Zn6Cu8Ni
Method: DFT, PBE
State: relaxed

The structure in POSCAR format:
```
Zn6Cu8Ni
1.0
3.251 1.877 5.297
-3.251 1.877 5.297
0.000 -3.753 5.297
Zn Cu Ni
6 8 1
Direct
0.044 0.765 0.560
0.235 0.440 0.956
0.440 0.956 0.235
0.560 0.044 0.765
0.765 0.560 0.044
0.956 0.235 0.440
0.079 0.079 0.079
0.170 0.310 0.618
0.310 0.618 0.170
0.382 0.830 0.690
0.618 0.170 0.310
0.690 0.382 0.830
0.830 0.690 0.382
0.921 0.921 0.921
0.500 0.500 0.500
```

## Properties
N(E_F)   7.35 states/eV/f.u.
SG   R-3 (148)
Size of the total moment   0.0 Bohr magnetons per cell


b:
Material: Zn6Cu8Ni
Method: DFT, PBE
State: relaxed

The structure in POSCAR format:
```
Zn6Cu8Ni
1.0
3.255 1.880 5.370
-3.255 1.880 5.370
0.000 -3.759 5.370
Zn Cu Ni
6 8 1
Direct
0.046 0.729 0.563
0.271 0.437 0.954
0.437 0.954 0.271
0.563 0.046 0.729
0.729 0.563 0.046
0.954 0.271 0.437
0.099 0.273 0.811
0.189 0.901 0.727
0.273 0.811 0.099
0.344 0.344 0.344
0.656 0.656 0.656
0.727 0.189 0.901
0.811 0.099 0.273
0.901 0.727 0.189
0.500 0.500 0.500
```

## Properties
N(E_F)   4.21 states/eV/f.u.
SG   R-3 (148)
Size of the total moment   0.0 Bohr magnetons per cell


It is a that is most stable; the runner-up trails by 10 meV/atom.


a:
Material: Zn3Cu6Ni
Method: DFT, PBE
State: relaxed

The structure in POSCAR format:
```
Zn3Cu6Ni
1.0
6.872 0.000 0.000
0.000 4.247 0.000
-2.933 0.000 8.500
Zn Cu Ni
6 12 2
Direct
0.091 0.250 0.236
0.302 0.250 0.030
0.305 0.750 0.373
0.695 0.250 0.627
0.698 0.750 0.970
0.909 0.750 0.764
0.101 0.750 0.068
0.102 0.250 0.728
0.295 0.250 0.536
0.300 0.750 0.862
0.497 0.750 0.668
0.499 0.750 0.168
0.501 0.250 0.832
0.503 0.250 0.332
0.700 0.250 0.138
0.705 0.750 0.464
0.898 0.750 0.272
0.899 0.250 0.932
0.097 0.750 0.564
0.903 0.250 0.436
```

## Properties
N(E_F)   4.00 states/eV/f.u.
SG   P2_1/m (11)
Size of the total moment   0.0 Bohr magnetons per cell


b:
Material: Zn3Cu6Ni
Method: DFT, PBE
State: relaxed

The structure in POSCAR format:
```
Zn3Cu6Ni
1.0
4.059 -6.980 0.000
4.059 6.980 0.000
0.000 0.000 4.559
Zn Cu Ni
6 12 2
Direct
0.106 0.894 0.500
0.231 0.442 0.853
0.442 0.231 0.353
0.558 0.769 0.853
0.769 0.558 0.353
0.894 0.106 0.000
0.048 0.466 0.272
0.119 0.211 0.436
0.205 0.795 0.056
0.211 0.119 0.936
0.440 0.560 0.349
0.466 0.048 0.772
0.534 0.952 0.272
0.560 0.440 0.849
0.789 0.881 0.436
0.795 0.205 0.556
0.881 0.789 0.936
0.952 0.534 0.772
0.278 0.722 0.566
0.722 0.278 0.066
```

## Properties
N(E_F)   3.65 states/eV/f.u.
SG   Cmc2_1 (36)
Size of the total moment   0.0 Bohr magnetons per cell


It is a that is most stable; the runner-up trails by 98 meV/atom.


a:
Material: Zn2CuNi8
Method: DFT, PBE
State: relaxed

The structure in POSCAR format:
```
Zn2CuNi8
1.0
3.234 -6.233 0.000
3.234 6.233 0.000
-2.762 0.000 3.297
Zn Cu Ni
2 1 8
Direct
0.186 0.814 0.000
0.814 0.186 0.000
0.500 0.500 0.500
0.041 0.041 0.283
0.132 0.396 0.779
0.302 0.698 0.500
0.396 0.132 0.779
0.604 0.868 0.221
0.698 0.302 0.500
0.868 0.604 0.221
0.959 0.959 0.717
```

## Properties
N(E_F)   15.74 states/eV/f.u.
SG   C2/m (12)
Size of the total moment   2.6 Bohr magnetons per cell


b:
Material: Zn2CuNi8
Method: DFT, PBE
State: relaxed

The structure in POSCAR format:
```
Zn2CuNi8
1.0
-1.760 3.695 5.080
1.760 -3.695 5.080
1.760 3.695 -5.080
Zn Cu Ni
2 1 8
Direct
0.144 0.144 0.000
0.856 0.856 0.000
0.500 0.500 0.000
0.089 0.333 0.757
0.268 0.000 0.268
0.325 0.825 0.500
0.424 0.667 0.757
0.576 0.333 0.243
0.675 0.175 0.500
0.732 0.000 0.732
0.911 0.667 0.243
```

## Properties
N(E_F)   15.09 states/eV/f.u.
SG   Immm (71)
Size of the total moment   2.7 Bohr magnetons per cell


It is b that is most stable; the runner-up trails by 89 meV/atom.


a:
Material: ZnCu2Ni8
Method: DFT, PBE
State: relaxed

The structure in POSCAR format:
```
ZnCu2Ni8
1.0
3.234 -6.235 0.000
3.234 6.235 0.000
-2.798 0.000 3.264
Zn Cu Ni
1 2 8
Direct
0.000 0.000 0.000
0.317 0.683 0.500
0.683 0.317 0.500
0.102 0.376 0.730
0.196 0.804 0.000
0.376 0.102 0.730
0.462 0.462 0.218
0.538 0.538 0.782
0.624 0.898 0.270
0.804 0.196 0.000
0.898 0.624 0.270
```

## Properties
N(E_F)   16.57 states/eV/f.u.
SG   C2/m (12)
Size of the total moment   3.3 Bohr magnetons per cell


b:
Material: ZnCu2Ni8
Method: DFT, PBE
State: relaxed

The structure in POSCAR format:
```
ZnCu2Ni8
1.0
-1.946 3.038 5.420
1.946 -3.038 5.420
1.946 3.038 -5.420
Zn Cu Ni
1 2 8
Direct
0.000 0.000 0.000
0.300 0.300 0.000
0.700 0.700 0.000
0.145 0.853 0.293
0.153 0.653 0.500
0.296 0.500 0.796
0.440 0.147 0.293
0.560 0.853 0.707
0.704 0.500 0.204
0.847 0.347 0.500
0.855 0.147 0.707
```

## Properties
N(E_F)   14.46 states/eV/f.u.
SG   Immm (71)
Size of the total moment   3.3 Bohr magnetons per cell


It is b that is most stable; the runner-up trails by 42 meV/atom.


a:
Material: Zn2CuNi4
Method: DFT, PBE
State: relaxed

The structure in POSCAR format:
```
Zn2CuNi4
1.0
-1.259 1.996 8.357
1.259 -1.996 8.357
1.259 1.996 -8.357
Zn Cu Ni
2 1 4
Direct
0.087 0.087 0.000
0.913 0.913 0.000
0.500 0.500 0.000
0.227 0.727 0.500
0.355 0.355 0.000
0.645 0.645 0.000
0.773 0.273 0.500
```

## Properties
N(E_F)   8.44 states/eV/f.u.
SG   Immm (71)
Size of the total moment   0.9 Bohr magnetons per cell


b:
Material: Zn2CuNi4
Method: DFT, PBE
State: relaxed

The structure in POSCAR format:
```
Zn2CuNi4
1.0
-2.226 2.226 4.770
2.226 -2.226 4.770
2.226 2.226 -4.770
Zn Cu Ni
2 1 4
Direct
0.138 0.138 0.000
0.862 0.862 0.000
0.500 0.500 0.000
0.000 0.500 0.500
0.250 0.750 0.500
0.500 0.000 0.500
0.750 0.250 0.500
```

## Properties
N(E_F)   10.97 states/eV/f.u.
SG   I4/mmm (139)
Size of the total moment   0.6 Bohr magnetons per cell


It is a that is most stable; the runner-up trails by 422 meV/atom.


a:
Material: Zn4CuNi
Method: DFT, PBE
State: relaxed

The structure in POSCAR format:
```
Zn4CuNi
1.0
2.567 -3.561 0.000
2.567 3.561 0.000
-2.309 0.000 4.556
Zn Cu Ni
4 1 1
Direct
0.060 0.435 0.254
0.435 0.060 0.254
0.565 0.940 0.746
0.940 0.565 0.746
0.500 0.500 0.000
0.000 0.000 0.500
```

## Properties
N(E_F)   2.37 states/eV/f.u.
SG   C2/m (12)
Size of the total moment   0.0 Bohr magnetons per cell


b:
Material: Zn4CuNi
Method: DFT, PBE
State: relaxed

The structure in POSCAR format:
```
Zn4CuNi
1.0
0.000 3.456 3.456
3.456 0.000 3.456
3.456 3.456 0.000
Zn Cu Ni
4 1 1
Direct
0.125 0.125 0.125
0.125 0.125 0.624
0.125 0.624 0.125
0.624 0.125 0.125
0.750 0.750 0.750
0.500 0.500 0.500
```

## Properties
N(E_F)   3.12 states/eV/f.u.
SG   F-43m (216)
Size of the total moment   0.0 Bohr magnetons per cell


c:
Material: Zn4CuNi
Method: DFT, PBE
State: relaxed

The structure in POSCAR format:
```
Zn4CuNi
1.0
5.445 -1.371 0.000
5.445 1.371 0.000
-1.440 0.000 5.358
Zn Cu Ni
4 1 1
Direct
0.156 0.156 0.334
0.159 0.159 0.825
0.841 0.841 0.175
0.844 0.844 0.666
0.500 0.500 0.000
0.500 0.500 0.500
```

## Properties
N(E_F)   2.08 states/eV/f.u.
SG   C2/m (12)
Size of the total moment   0.0 Bohr magnetons per cell


It is c that is most stable; the runner-up trails by 86 meV/atom.


a:
Material: Zn2Cu2Ni
Method: DFT, PBE
State: relaxed

The structure in POSCAR format:
```
Zn2Cu2Ni
1.0
6.893 0.000 0.000
0.000 6.893 0.000
0.000 0.000 2.745
Zn Cu Ni
4 4 2
Direct
0.141 0.359 0.000
0.359 0.859 0.000
0.641 0.141 0.000
0.859 0.641 0.000
0.159 0.659 0.500
0.341 0.159 0.500
0.659 0.841 0.500
0.841 0.341 0.500
0.000 0.000 0.000
0.500 0.500 0.000
```

## Properties
N(E_F)   2.74 states/eV/f.u.
SG   P4/mbm (127)
Size of the total moment   0.0 Bohr magnetons per cell


b:
Material: Zn2Cu2Ni
Method: DFT, PBE
State: relaxed

The structure in POSCAR format:
```
Zn2Cu2Ni
1.0
6.917 0.000 0.000
0.000 6.917 0.000
0.000 0.000 2.720
Zn Cu Ni
4 4 2
Direct
0.173 0.327 0.000
0.327 0.827 0.000
0.673 0.173 0.000
0.827 0.673 0.000
0.126 0.626 0.500
0.374 0.126 0.500
0.626 0.874 0.500
0.874 0.374 0.500
0.000 0.000 0.500
0.500 0.500 0.500
```

## Properties
N(E_F)   2.86 states/eV/f.u.
SG   P4/mbm (127)
Size of the total moment   0.0 Bohr magnetons per cell


c:
Material: Zn2Cu2Ni
Method: DFT, PBE
State: relaxed

The structure in POSCAR format:
```
Zn2Cu2Ni
1.0
-2.390 5.778 2.381
2.390 -5.778 2.381
2.390 5.778 -2.381
Zn Cu Ni
4 4 2
Direct
0.183 0.141 0.324
0.317 0.641 0.958
0.683 0.359 0.042
0.817 0.859 0.676
0.097 0.616 0.713
0.403 0.116 0.519
0.597 0.884 0.481
0.903 0.384 0.287
0.250 0.250 0.000
0.750 0.750 0.000
```

## Properties
N(E_F)   2.79 states/eV/f.u.
SG   Ibam (72)
Size of the total moment   0.0 Bohr magnetons per cell


It is c that is most stable; the runner-up trails by 23 meV/atom.


a:
Material: Zn3Cu4Ni2
Method: DFT, PBE
State: relaxed

The structure in POSCAR format:
```
Zn3Cu4Ni2
1.0
-2.024 2.465 6.111
2.024 -2.465 6.111
2.024 2.465 -6.111
Zn Cu Ni
3 4 2
Direct
0.000 0.000 0.000
0.391 0.891 0.500
0.609 0.109 0.500
0.050 0.304 0.747
0.443 0.696 0.747
0.557 0.304 0.253
0.950 0.696 0.253
0.263 0.500 0.763
0.737 0.500 0.237
```

## Properties
N(E_F)   3.89 states/eV/f.u.
SG   Immm (71)
Size of the total moment   0.0 Bohr magnetons per cell


b:
Material: Zn3Cu4Ni2
Method: DFT, PBE
State: relaxed

The structure in POSCAR format:
```
Zn3Cu4Ni2
1.0
4.449 0.000 0.000
0.103 6.765 0.000
2.082 2.312 7.336
Zn Cu Ni
6 8 4
Direct
0.065 0.466 0.217
0.272 0.862 0.114
0.386 0.806 0.557
0.614 0.194 0.443
0.728 0.138 0.886
0.935 0.534 0.783
0.056 0.303 0.554
0.171 0.251 0.999
0.277 0.024 0.777
0.494 0.418 0.667
0.506 0.582 0.333
0.723 0.976 0.223
0.829 0.749 0.001
0.944 0.697 0.446
0.171 0.083 0.332
0.389 0.639 0.891
0.611 0.361 0.109
0.829 0.917 0.668
```

## Properties
N(E_F)   3.49 states/eV/f.u.
SG   P-1 (2)
Size of the total moment   0.0 Bohr magnetons per cell


It is b that is most stable; the runner-up trails by 202 meV/atom.


a:
Material: Zn2Cu6Ni
Method: DFT, PBE
State: relaxed

The structure in POSCAR format:
```
Zn2Cu6Ni
1.0
6.401 -3.512 0.000
6.401 3.512 0.000
-0.031 0.000 2.524
Zn Cu Ni
2 6 1
Direct
0.182 0.182 0.496
0.818 0.818 0.504
0.160 0.518 0.000
0.185 0.815 0.500
0.482 0.840 0.000
0.518 0.160 0.000
0.815 0.185 0.500
0.840 0.482 0.000
0.500 0.500 0.000
```

## Properties
N(E_F)   2.98 states/eV/f.u.
SG   C2/m (12)
Size of the total moment   0.0 Bohr magnetons per cell


b:
Material: Zn2Cu6Ni
Method: DFT, PBE
State: relaxed

The structure in POSCAR format:
```
Zn2Cu6Ni
1.0
4.717 -4.331 0.000
4.717 4.331 0.000
-3.881 0.000 5.451
Zn Cu Ni
4 12 2
Direct
0.062 0.289 0.423
0.289 0.062 0.923
0.711 0.938 0.077
0.938 0.711 0.577
0.082 0.822 0.031
0.137 0.415 0.863
0.178 0.918 0.469
0.287 0.501 0.309
0.415 0.137 0.363
0.499 0.713 0.191
0.501 0.287 0.809
0.585 0.863 0.637
0.713 0.499 0.691
0.822 0.082 0.531
0.863 0.585 0.137
0.918 0.178 0.969
0.354 0.646 0.750
0.646 0.354 0.250
```

## Properties
N(E_F)   4.22 states/eV/f.u.
SG   C2/c (15)
Size of the total moment   0.0 Bohr magnetons per cell


It is b that is most stable; the runner-up trails by 53 meV/atom.